Run P
The following is a DFT calculation (PBE-GGA) of crystalline HoZnSb at its relaxed geometry.

Unit cell a=4.3818 b=4.3818 c=4.2815 alpha=90.00 beta=90.00 gamma=120.00
Closest atoms and distances in Å follow each position.
Element x y z (fractional)
Ho 0.0000 0.0000 0.0000  3 Zn 2.88, 3 Sb 3.18
Zn 0.3333 0.6667 0.6777  3 Sb 2.71, 3 Ho 2.88
Sb 0.6667 0.3333 0.4492  3 Zn 2.71

D(E_F) (states/eV/cell): 0.40

Run Q
The following is a DFT calculation (PBE-GGA) of crystalline HoZnSb at its relaxed geometry.

Unit cell a=3.4695 b=4.5319 c=10.3575 alpha=79.40 beta=89.78 gamma=89.72
Closest atoms and distances in Å follow each position.
Element x y z (fractional)
Ho 0.0016 0.3316 0.3055  6 Zn 3.07-3.20, 4 Sb 3.15-3.16
Ho 0.9984 0.6684 0.6945  6 Zn 3.07-3.20, 4 Sb 3.15-3.16
Zn 0.4997 0.2269 0.5547  2 Zn 2.52-2.53, 1 Sb 2.77
Zn 0.5003 0.7731 0.4453  2 Zn 2.52-2.53, 1 Sb 2.77
Sb 0.4979 0.1136 0.8264  1 Zn 2.77
Sb 0.5021 0.8864 0.1736  1 Zn 2.77

D(E_F) (states/eV/cell): 2.43

run P (0.050 eV/atom below the next structure)

Run P
The following is a DFT calculation (PBE-GGA) of crystalline Ho4ZrSb5 at its relaxed geometry.

Unit cell a=15.5586 b=15.5586 c=15.5586 alpha=164.05 beta=164.05 gamma=22.64
Closest atoms and distances in Å follow each position.
Element x y z (fractional)
Ho 0.0993 0.0993 0.0000  6 Sb 3.03-3.07
Ho 0.3015 0.3015 0.0000  6 Sb 3.05-3.10
Ho 0.6985 0.6985 0.0000  6 Sb 3.05-3.10
Ho 0.9007 0.9007 0.0000  6 Sb 3.03-3.07
Zr 0.5000 0.5000 0.0000  6 Sb 2.96-3.05
Sb 0.0000 0.0000 0.0000  2 Ho 3.03, 4 Zr 3.05
Sb 0.2000 0.2000 0.0000  6 Ho 3.05-3.10
Sb 0.4029 0.4029 0.0000  1 Zr 2.96, 5 Ho 3.05-3.09
Sb 0.5971 0.5971 0.0000  1 Zr 2.96, 5 Ho 3.05-3.09
Sb 0.8000 0.8000 0.0000  6 Ho 3.05-3.10

D(E_F) (states/eV/cell): 2.30

Run Q
The following is a DFT calculation (PBE-GGA) of crystalline Ho4ZrSb5 at its relaxed geometry.

Unit cell a=7.4706 b=7.4706 c=7.4706 alpha=99.62 beta=99.62 gamma=131.75
Closest atoms and distances in Å follow each position.
Element x y z (fractional)
Ho 0.0962 0.6987 0.7949  6 Sb 3.05-3.08
Ho 0.3013 0.0962 0.3975  6 Sb 3.05-3.08
Ho 0.6987 0.9038 0.6025  6 Sb 3.05-3.08
Ho 0.9038 0.3013 0.2051  6 Sb 3.05-3.08
Zr 0.5000 0.5000 0.0000  6 Sb 2.98-3.05
Sb 0.0000 0.0000 0.0000  4 Ho 3.05, 2 Zr 3.05
Sb 0.2077 0.4011 0.6088  1 Zr 2.98, 5 Ho 3.05-3.08
Sb 0.4011 0.7923 0.1933  1 Zr 2.98, 5 Ho 3.05-3.08
Sb 0.5989 0.2077 0.8067  1 Zr 2.98, 5 Ho 3.05-3.08
Sb 0.7923 0.5989 0.3912  1 Zr 2.98, 5 Ho 3.05-3.08

D(E_F) (states/eV/cell): 2.40

run Q (0.008 eV/atom below the next structure)

Run P
The following is a DFT calculation (PBE-GGA) of crystalline Ho3Sc at its relaxed geometry.

Unit cell a=7.0490 b=7.0490 c=5.4947 alpha=90.00 beta=90.00 gamma=120.00
Closest atoms and distances in Å follow each position.
Element x y z (fractional)
Ho 0.1690 0.3381 0.2500  4 Sc 3.40-3.52, 8 Ho 3.44-3.57
Ho 0.1690 0.8310 0.2500  4 Sc 3.40-3.52, 8 Ho 3.44-3.57
Ho 0.3381 0.1690 0.7500  4 Sc 3.40-3.52, 8 Ho 3.44-3.57
Ho 0.6619 0.8310 0.2500  4 Sc 3.40-3.52, 8 Ho 3.44-3.57
Ho 0.8310 0.1690 0.7500  4 Sc 3.40-3.52, 8 Ho 3.44-3.57
Ho 0.8310 0.6619 0.7500  4 Sc 3.40-3.52, 8 Ho 3.44-3.57
Sc 0.3333 0.6667 0.7500  12 Ho 3.40-3.52
Sc 0.6667 0.3333 0.2500  12 Ho 3.40-3.52

D(E_F) (states/eV/cell): 14.88

Run Q
The following is a DFT calculation (PBE-GGA) of crystalline Ho3Sc at its relaxed geometry.

Unit cell a=6.5262 b=6.5262 c=6.5262 alpha=148.55 beta=65.44 gamma=124.24
Closest atoms and distances in Å follow each position.
Element x y z (fractional)
Ho 0.0000 0.0000 0.0000  8 Ho 3.40-3.54, 4 Sc 3.50-3.56
Ho 0.0935 0.3387 0.7547  3 Sc 3.38-3.46, 9 Ho 3.40-3.54
Ho 0.5840 0.3387 0.2453  3 Sc 3.38-3.46, 9 Ho 3.40-3.54
Sc 0.5053 0.0053 0.5000  10 Ho 3.38-3.56, 2 Sc 3.54

D(E_F) (states/eV/cell): 6.99

run P (0.005 eV/atom below the next structure)

Run P
The following is a DFT calculation (PBE-GGA) of crystalline HoSc7 at its relaxed geometry.

Unit cell a=8.0858 b=8.0858 c=8.0858 alpha=156.73 beta=101.20 gamma=83.52
Closest atoms and distances in Å follow each position.
Element x y z (fractional)
Ho 0.0000 0.0000 0.0000  2 Ho 3.26, 12 Sc 3.38-3.59
Sc 0.1357 0.3663 0.7694  10 Sc 3.08-3.30
Sc 0.2452 0.7452 0.5000  9 Sc 3.07-3.26, 2 Ho 3.38
Sc 0.4031 0.6337 0.7694  10 Sc 3.08-3.30
Sc 0.5000 0.0000 0.5000  12 Sc 3.07-3.30
Sc 0.5969 0.3663 0.2306  10 Sc 3.08-3.30
Sc 0.7548 0.2548 0.5000  9 Sc 3.07-3.26, 2 Ho 3.38
Sc 0.8643 0.6337 0.2306  10 Sc 3.08-3.30

D(E_F) (states/eV/cell): 14.91

Run Q
The following is a DFT calculation (PBE-GGA) of crystalline HoSc7 at its relaxed geometry.

Unit cell a=6.5825 b=6.5825 c=6.5825 alpha=60.00 beta=60.00 gamma=60.00
Closest atoms and distances in Å follow each position.
Element x y z (fractional)
Ho 0.0000 0.0000 0.0000  12 Sc 3.29
Sc 0.0000 0.0000 0.5000  10 Sc 3.29, 2 Ho 3.29
Sc 0.0000 0.5000 0.0000  10 Sc 3.29, 2 Ho 3.29
Sc 0.0000 0.5000 0.5000  10 Sc 3.29, 2 Ho 3.29
Sc 0.5000 0.0000 0.0000  10 Sc 3.29, 2 Ho 3.29
Sc 0.5000 0.0000 0.5000  10 Sc 3.29, 2 Ho 3.29
Sc 0.5000 0.5000 0.0000  10 Sc 3.29, 2 Ho 3.29
Sc 0.5000 0.5000 0.5000  12 Sc 3.29

D(E_F) (states/eV/cell): 16.48

run P (0.024 eV/atom below the next structure)

Run P
The following is a DFT calculation (PBE-GGA) of crystalline Ho7Sc5 at its relaxed geometry.

Unit cell a=5.3820 b=5.3820 c=14.1125 alpha=100.98 beta=100.98 gamma=60.09
Closest atoms and distances in Å follow each position.
Element x y z (fractional)
Ho 0.0000 0.0000 0.0000  6 Sc 3.20
Ho 0.1911 0.1911 0.5748  7 Sc 3.27-3.62, 4 Ho 3.51-3.64
Ho 0.2754 0.2754 0.8295  4 Sc 3.12-3.49
Ho 0.4311 0.4311 0.2882  5 Sc 2.92-3.19
Ho 0.5689 0.5689 0.7118  5 Sc 2.92-3.19
Ho 0.7246 0.7246 0.1705  4 Sc 3.12-3.49
Ho 0.8089 0.8089 0.4252  7 Sc 3.27-3.62, 4 Ho 3.51-3.64
Sc 0.1055 0.1055 0.3119  6 Ho 3.12-3.48
Sc 0.3525 0.3525 0.0562  8 Ho 3.12-3.49, 3 Sc 3.46-3.48
Sc 0.5000 0.5000 0.5000  2 Ho 2.92
Sc 0.6475 0.6475 0.9438  8 Ho 3.12-3.49, 3 Sc 3.46-3.48
Sc 0.8945 0.8945 0.6881  6 Ho 3.12-3.48

D(E_F) (states/eV/cell): 17.98

Run Q
The following is a DFT calculation (PBE-GGA) of crystalline Ho7Sc5 at its relaxed geometry.

Unit cell a=7.6289 b=7.6289 c=10.8083 alpha=115.08 beta=115.08 gamma=36.89
Closest atoms and distances in Å follow each position.
Element x y z (fractional)
Ho 0.0000 0.0000 0.0000  8 Ho 3.39-3.51, 4 Sc 3.40-3.46
Ho 0.0854 0.0854 0.7428  4 Sc 3.39-3.47, 8 Ho 3.41-3.51
Ho 0.2518 0.2518 0.2528  7 Sc 3.33-3.45, 5 Ho 3.39-3.45
Ho 0.3362 0.3362 0.0013  7 Ho 3.39-3.46, 5 Sc 3.40-3.49
Ho 0.4112 0.4112 0.7393  5 Sc 3.34-3.39, 7 Ho 3.45-3.52
Ho 0.5020 0.5020 0.4936  8 Sc 3.32-3.47, 4 Ho 3.39-3.45
Ho 0.6684 0.6684 0.9985  9 Ho 3.41-3.52, 3 Sc 3.46-3.48
Sc 0.1675 0.1675 0.4934  5 Ho 3.33-3.40, 7 Sc 3.33-3.39
Sc 0.5845 0.5845 0.2518  7 Ho 3.32-3.46, 5 Sc 3.34-3.37
Sc 0.7494 0.7494 0.7401  3 Sc 3.35-3.39, 9 Ho 3.37-3.49
Sc 0.8297 0.8297 0.4939  5 Sc 3.34-3.41, 7 Ho 3.36-3.47
Sc 0.9223 0.9223 0.2537  4 Sc 3.33-3.41, 8 Ho 3.35-3.47

D(E_F) (states/eV/cell): 19.18

run Q (0.126 eV/atom below the next structure)